[1]
# La2NdTe3 | Alexandria via LeMat-Bulk | GGA-PBE | optimized geometry
data_La2NdTe3
_cell_length_a 4.5649
_cell_length_b 6.4356
_cell_length_c 13.6433
_cell_angle_alpha 90.00
_cell_angle_beta 90.00
_cell_angle_gamma 90.00
_symmetry_space_group_name_H-M 'I m m m'
_symmetry_Int_Tables_number 71
_symmetry_space_group_name_Hall '-I 2 2'
loop_
_atom_site_label
_atom_site_type_symbol
_atom_site_fract_x
_atom_site_fract_y
_atom_site_fract_z
_atom_site_occupancy
La1 La 0.0000 0.0000 0.1669 1
Nd1 Nd 0.0000 0.0000 0.5000 1
Te1 Te 0.0000 0.5000 0.1643 1
Te2 Te 0.0000 0.5000 0.5000 1
# Uncorrected energy (eV/f.u.): -33.28
# Calculated volume (Å³ per cell): 400.8

=====

[2]
# CaSiC3 | Alexandria via LeMat-Bulk | GGA-PBE | optimized geometry
data_CaSiC3
_cell_length_a 3.8426
_cell_length_b 3.8426
_cell_length_c 3.8426
_cell_angle_alpha 90.00
_cell_angle_beta 90.00
_cell_angle_gamma 90.00
_symmetry_space_group_name_H-M 'P m -3 m'
_symmetry_Int_Tables_number 221
_symmetry_space_group_name_Hall '-P 4 2 3'
loop_
_atom_site_label
_atom_site_type_symbol
_atom_site_fract_x
_atom_site_fract_y
_atom_site_fract_z
_atom_site_occupancy
Ca1 Ca 0.0000 0.0000 0.0000 1
Si1 Si 0.5000 0.5000 0.5000 1
C1 C 0.0000 0.5000 0.5000 1
# Excess energy over the best structure of this formula in the dataset (meV per atom): 0
# Calculated volume (Å³ per cell): 56.7

=====

Q: Number 2 is which compound?
A: CaSiC3

=====

Q: Which of these has the lowest calculated volume?
A: CaSiC3

=====

Q: What is the formula in the first record?
A: La2NdTe3